Version one
An optimized crystal structure of Be2Os, computed with GGA-PBEsol.

a b c (Å): 4.3319 4.3319 14.0582
angles (deg): 90.00 90.00 120.00
Space group P6_3/mmc (No. 194)
Asymmetric unit:
Be 0.0000 0.5000 0.0000 [6 per cell]
Be 0.1639 0.3278 0.2500 [6 per cell]
Be 0.3333 0.6667 0.1251 [4 per cell]
Os 0.0000 0.0000 0.0948 [4 per cell]
Os 0.3333 0.6667 0.6566 [4 per cell]

Theoretical density: 12.11 g/cm³

=====

Version two
An optimized crystal structure of Be2Os, computed with GGA-PBEsol.

a b c (Å): 4.601 4.601 6.121
angles (deg): 90.00 90.00 90.00
Space group I4/mcm (No. 140)
Asymmetric unit:
Be 0.183 0.317 0.000 [8 per cell]
Os 0.000 0.000 0.250 [4 per cell]

Theoretical density: 10.67 g/cm³

=====

version one takes first place; second place is 41.9 kJ/mol of atoms up.

=====

Version one
An optimized crystal structure of BeOs3, computed with GGA-PBEsol.

a b c (Å): 4.324 4.324 2.816
angles (deg): 90.00 90.00 90.00
Space group P4/mmm (No. 123)
Asymmetric unit:
Be 0.000 0.000 0.000 [1 per cell]
Os 0.000 0.500 0.500 [2 per cell]
Os 0.500 0.500 0.000 [1 per cell]

Theoretical density: 18.28 g/cm³

=====

Version two
An optimized crystal structure of BeOs3, computed with GGA-PBEsol.

a b c (Å): 8.737 2.694 4.511
angles (deg): 90.00 98.27 90.00
Space group C2/m (No. 12)
Asymmetric unit:
Be 0.000 0.000 0.000 [2 per cell]
Os 0.000 0.500 0.500 [2 per cell]
Os 0.244 0.000 0.757 [4 per cell]

Theoretical density: 18.32 g/cm³

=====

Version three
An optimized crystal structure of BeOs3, computed with GGA-PBEsol.

a b c (Å): 2.755 4.535 8.395
angles (deg): 90.00 90.00 90.00
Space group Cmmm (No. 65)
Asymmetric unit:
Be 0.000 0.000 0.000 [2 per cell]
Os 0.000 0.000 0.500 [2 per cell]
Os 0.000 0.500 0.227 [4 per cell]

Theoretical density: 18.36 g/cm³

=====

version two takes first place; second place is 20.3 kJ/mol of atoms up.

=====

Version one
An optimized crystal structure of BeOs2Pb, computed with GGA-PBEsol.

a b c (Å): 3.068 4.301 9.009
angles (deg): 90.00 90.00 90.00
Space group Imm2 (No. 44)
Asymmetric unit:
Be 0.000 0.000 0.000 [2 per cell]
Os 0.000 0.000 0.459 [2 per cell]
Os 0.000 0.500 0.696 [2 per cell]
Pb 0.000 0.500 0.246 [2 per cell]

Theoretical density: 16.67 g/cm³

=====

Version two
An optimized crystal structure of BeOs2Pb, computed with GGA-PBEsol.

a b c (Å): 3.913 3.913 7.867
angles (deg): 90.00 90.00 90.00
Space group I-4m2 (No. 119)
Asymmetric unit:
Be 0.000 0.000 0.000 [2 per cell]
Os 0.000 0.000 0.500 [2 per cell]
Os 0.000 0.500 0.250 [2 per cell]
Pb 0.000 0.500 0.750 [2 per cell]

Theoretical density: 16.45 g/cm³

=====

Version three
An optimized crystal structure of BeOs2Pb, computed with GGA-PBEsol.

a b c (Å): 8.682 2.925 4.918
angles (deg): 90.00 105.72 90.00
Space group C2/m (No. 12)
Asymmetric unit:
Be 0.000 0.000 0.000 [2 per cell]
Os 0.217 0.500 0.197 [4 per cell]
Pb 0.000 0.500 0.500 [2 per cell]

Theoretical density: 16.48 g/cm³

=====

version three takes first place; second place is 23.5 kJ/mol of atoms up.

=====

Version one
An optimized crystal structure of Be2OsRh, computed with GGA-PBEsol.

a b c (Å): 2.748 2.748 5.653
angles (deg): 90.00 90.00 90.00
Space group P4mm (No. 99)
Asymmetric unit:
Be 0.000 0.000 0.000 [1 per cell]
Be 0.500 0.500 0.192 [1 per cell]
Os 0.000 0.000 0.435 [1 per cell]
Rh 0.500 0.500 0.763 [1 per cell]

Theoretical density: 12.10 g/cm³

=====

Version two
An optimized crystal structure of Be2OsRh, computed with GGA-PBEsol.

a b c (Å): 2.751 4.400 7.800
angles (deg): 90.00 90.00 90.00
Space group Cmm2 (No. 35)
Asymmetric unit:
Be 0.000 0.000 0.000 [2 per cell]
Be 0.000 0.500 0.235 [2 per cell]
Os 0.000 0.000 0.474 [2 per cell]
Rh 0.000 0.500 0.773 [2 per cell]

Theoretical density: 10.94 g/cm³

=====

version one takes first place; second place is 45.5 kJ/mol of atoms up.

=====

Version one
An optimized crystal structure of BeOs2Se, computed with GGA-PBEsol.

a b c (Å): 4.156 4.156 2.960
angles (deg): 90.00 90.00 90.00
Space group P4/mmm (No. 123)
Asymmetric unit:
Be 0.000 0.000 0.000 [1 per cell]
Os 0.000 0.500 0.500 [2 per cell]
Se 0.500 0.500 0.000 [1 per cell]

Theoretical density: 15.22 g/cm³

=====

Version two
An optimized crystal structure of BeOs2Se, computed with GGA-PBEsol.

a b c (Å): 2.841 2.841 7.694
angles (deg): 90.00 90.00 90.00
Space group P4mm (No. 99)
Asymmetric unit:
Be 0.000 0.000 0.000 [1 per cell]
Os 0.000 0.000 0.392 [1 per cell]
Os 0.500 0.500 0.154 [1 per cell]
Se 0.500 0.500 0.601 [1 per cell]

Theoretical density: 12.53 g/cm³

=====

Version three
An optimized crystal structure of BeOs2Se, computed with GGA-PBEsol.

a b c (Å): 4.193 2.865 4.860
angles (deg): 90.00 114.69 90.00
Space group P2/m (No. 10)
Asymmetric unit:
Be 0.000 0.000 0.000 [1 per cell]
Os 0.500 0.000 0.500 [1 per cell]
Os 0.500 0.500 0.000 [1 per cell]
Se 0.000 0.500 0.500 [1 per cell]

Theoretical density: 14.66 g/cm³

=====

version two takes first place; second place is 8.8 kJ/mol of atoms up.

=====

Version one
An optimized crystal structure of BeTlOs2, computed with GGA-PBEsol.

a b c (Å): 3.862 3.862 3.963
angles (deg): 90.00 90.00 90.00
Space group P4/mmm (No. 123)
Asymmetric unit:
Be 0.000 0.000 0.000 [1 per cell]
Tl 0.500 0.500 0.000 [1 per cell]
Os 0.000 0.500 0.500 [2 per cell]

Theoretical density: 16.68 g/cm³

=====

Version two
An optimized crystal structure of BeTlOs2, computed with GGA-PBEsol.

a b c (Å): 8.242 2.856 5.472
angles (deg): 90.00 97.46 90.00
Space group Cm (No. 8)
Asymmetric unit:
Be 0.000 0.000 0.000 [2 per cell]
Tl 0.270 0.500 0.326 [2 per cell]
Os 0.027 0.500 0.666 [2 per cell]
Os 0.270 0.000 0.856 [2 per cell]

Theoretical density: 15.44 g/cm³

=====

version two takes first place; second place is 26.9 kJ/mol of atoms up.

=====

Version one
An optimized crystal structure of BeP, computed with GGA-PBEsol.

a b c (Å): 9.398 3.193 3.389
angles (deg): 90.00 110.26 90.00
Space group C2/m (No. 12)
Asymmetric unit:
Be 0.151 0.000 0.040 [4 per cell]
P 0.114 0.500 0.485 [4 per cell]

Theoretical density: 2.78 g/cm³

=====

Version two
An optimized crystal structure of BeP, computed with GGA-PBEsol.

a b c (Å): 4.917 4.917 4.917
angles (deg): 90.00 90.00 90.00
Space group F-43m (No. 216)
Asymmetric unit:
Be 0.000 0.000 0.000 [4 per cell]
P 0.250 0.250 0.750 [4 per cell]

Theoretical density: 2.23 g/cm³

=====

version one takes first place; second place is 1.5 kJ/mol of atoms up.

=====

Version one
An optimized crystal structure of BeP2, computed with GGA-PBEsol.

a b c (Å): 5.572 5.572 4.804
angles (deg): 90.00 90.00 90.00
Space group I4/mcm (No. 140)
Asymmetric unit:
Be 0.000 0.000 0.250 [4 per cell]
P 0.138 0.362 0.000 [8 per cell]

Theoretical density: 3.16 g/cm³

=====

Version two
An optimized crystal structure of BeP2, computed with GGA-PBEsol.

a b c (Å): 3.2207 3.2207 4.2958
angles (deg): 90.00 90.00 120.00
Space group P-3m1 (No. 164)
Asymmetric unit:
Be 0.0000 0.0000 0.0000 [1 per cell]
P 0.3333 0.6667 0.6714 [2 per cell]

Theoretical density: 3.05 g/cm³

=====

Version three
An optimized crystal structure of BeP2, computed with GGA-PBEsol.

a b c (Å): 2.475 2.475 12.838
angles (deg): 90.00 90.00 90.00
Space group I4/mmm (No. 139)
Asymmetric unit:
Be 0.000 0.000 0.000 [2 per cell]
P 0.000 0.000 0.366 [4 per cell]

Theoretical density: 3.00 g/cm³

=====

Version four
An optimized crystal structure of BeP2, computed with GGA-PBEsol.

a b c (Å): 4.2910 4.2910 2.3444
angles (deg): 90.00 90.00 120.00
Space group P6/mmm (No. 191)
Asymmetric unit:
Be 0.0000 0.0000 0.0000 [1 per cell]
P 0.3333 0.6667 0.5000 [2 per cell]

Theoretical density: 3.15 g/cm³

=====

version two takes first place; second place is 11.6 kJ/mol of atoms up.

=====

Version one
An optimized crystal structure of BeSb2P, computed with GGA-PBEsol.

a b c (Å): 3.706 3.941 5.442
angles (deg): 90.00 90.00 90.00
Space group Pmmm (No. 47)
Asymmetric unit:
Be 0.000 0.000 0.000 [1 per cell]
Sb 0.500 0.000 0.500 [1 per cell]
Sb 0.500 0.500 0.000 [1 per cell]
P 0.000 0.500 0.500 [1 per cell]

Theoretical density: 5.92 g/cm³

=====

Version two
An optimized crystal structure of BeSb2P, computed with GGA-PBEsol.

a b c (Å): 3.7770 3.7770 18.9360
angles (deg): 90.00 90.00 120.00
Space group R-3m (No. 166, hexagonal axes)
Asymmetric unit:
Be 0.0000 0.0000 0.0000 [3 per cell]
Sb 0.0000 0.0000 0.2569 [6 per cell]
P 0.0000 0.0000 0.5000 [3 per cell]

Theoretical density: 6.04 g/cm³

=====

Version three
An optimized crystal structure of BeSb2P, computed with GGA-PBEsol.

a b c (Å): 4.919 5.327 6.136
angles (deg): 90.00 90.00 90.00
Space group Amm2 (No. 38)
Asymmetric unit:
Be 0.000 0.000 0.000 [2 per cell]
Sb 0.000 0.000 0.575 [2 per cell]
Sb 0.500 0.000 0.183 [2 per cell]
P 0.500 0.000 0.756 [2 per cell]

Theoretical density: 5.86 g/cm³

=====

version two takes first place; second place is 2.2 kJ/mol of atoms up.

=====

Version one
An optimized crystal structure of Be2SiP, computed with GGA-PBEsol.

a b c (Å): 3.625 3.625 6.746
angles (deg): 90.00 90.00 90.00
Space group I4/mmm (No. 139)
Asymmetric unit:
Be 0.000 0.500 0.250 [4 per cell]
Si 0.000 0.000 0.000 [2 per cell]
P 0.000 0.000 0.500 [2 per cell]

Theoretical density: 2.89 g/cm³

=====

Version two
An optimized crystal structure of Be2SiP, computed with GGA-PBEsol.

a b c (Å): 2.9563 2.9563 19.0312
angles (deg): 90.00 90.00 120.00
Space group R-3m (No. 166, hexagonal axes)
Asymmetric unit:
Be 0.0000 0.0000 0.2432 [6 per cell]
Si 0.0000 0.0000 0.0000 [3 per cell]
P 0.0000 0.0000 0.5000 [3 per cell]

Theoretical density: 2.67 g/cm³

=====

version two takes first place; second place is 12.6 kJ/mol of atoms up.

=====

Version one
An optimized crystal structure of BeSi2P, computed with GGA-PBEsol.

a b c (Å): 3.266 3.389 9.749
angles (deg): 90.00 90.00 90.00
Space group Imm2 (No. 44)
Asymmetric unit:
Be 0.000 0.000 0.000 [2 per cell]
Si 0.000 0.000 0.526 [2 per cell]
Si 0.000 0.500 0.708 [2 per cell]
P 0.000 0.500 0.340 [2 per cell]

Theoretical density: 2.96 g/cm³

=====

Version two
An optimized crystal structure of BeSi2P, computed with GGA-PBEsol.

a b c (Å): 2.832 3.496 6.075
angles (deg): 90.00 90.00 90.00
Space group Pmm2 (No. 25)
Asymmetric unit:
Be 0.000 0.000 0.000 [1 per cell]
Si 0.000 0.000 0.630 [1 per cell]
Si 0.500 0.500 0.468 [1 per cell]
P 0.500 0.500 0.098 [1 per cell]

Theoretical density: 2.66 g/cm³

=====

version two takes first place; second place is 12.4 kJ/mol of atoms up.